No. 1
An optimized crystal structure of BeSbF2. Source: Alexandria via LeMat-Bulk, functional PBE-GGA.

Calculated volume, Å³/cell: 216
Formation energy (no corrections), eV/atom: -1.793

Cell: 2.8925 2.8925 29.8515 Å, 90.00 90.00 120.00°
Space group R-3m (No. 166, hexagonal axes)
Inequivalent atoms, fractional coordinates:
Be: 0.0000 0.0000 0.0000 [3 per cell]
Sb: 0.0000 0.0000 0.5000 [3 per cell]
F: 0.0000 0.0000 0.3615 [6 per cell]

***

No. 2
An optimized crystal structure of Ca2Zn2Ir. Source: Alexandria via LeMat-Bulk, functional PBE-GGA.

Calculated volume, Å³/cell: 457
Uncorrected energy, eV/atom: -3.45

Cell: 10.6171 4.2094 11.1259 Å, 90.00 113.10 90.00°
Space group C2/m (No. 12)
Inequivalent atoms, fractional coordinates:
Ca: 0.0002 0.0000 0.1626 [4 per cell]
Ca: 0.2026 0.0000 0.6314 [4 per cell]
Zn: 0.0085 0.5000 0.3870 [4 per cell]
Zn: 0.1787 0.5000 0.0519 [4 per cell]
Ir: 0.2005 0.5000 0.8234 [4 per cell]

***

No. 3
An optimized crystal structure of LaTbNi3. Source: Alexandria via LeMat-Bulk, functional PBE-GGA.

Calculated volume, Å³/cell: 393
Uncorrected energy, eV/atom: -5.75

Cell: 3.9659 24.5410 4.0427 Å, 90.00 90.00 90.00°
Space group Cmcm (No. 63)
Inequivalent atoms, fractional coordinates:
La: 0.0000 0.0727 0.2500 [4 per cell]
Tb: 0.0000 0.2048 0.7500 [4 per cell]
Ni: 0.0000 0.3228 0.7500 [4 per cell]
Ni: 0.0000 0.3769 0.2500 [4 per cell]
Ni: 0.0000 0.4741 0.2500 [4 per cell]

***

No. 4
An optimized crystal structure of Li2CdSe. Source: Alexandria via LeMat-Bulk, functional PBE-GGA.

Calculated volume, Å³/cell: 490
Formation energy (no corrections), eV/atom: -0.539

Cell: 5.9398 5.9398 13.8758 Å, 90.00 90.00 90.00°
Space group I-42d (No. 122)
Inequivalent atoms, fractional coordinates:
Li: 0.1186 0.2500 0.1250 [8 per cell]
Cd: 0.0000 0.0000 0.5000 [4 per cell]
Se: 0.0000 0.0000 0.0000 [4 per cell]

***

No. 5
An optimized crystal structure of K6O3F. Source: Alexandria via LeMat-Bulk, functional PBE-GGA.

Calculated volume, Å³/cell: 459
Formation energy (no corrections), eV/atom: -1.308

Cell: 10.6966 3.9575 11.2748 Å, 90.00 106.10 90.00°
Space group P2_1/m (No. 11)
Inequivalent atoms, fractional coordinates:
K: 0.0362 0.2500 0.3984 [2 per cell]
K: 0.0946 0.2500 0.9341 [2 per cell]
K: 0.2339 0.7500 0.2770 [2 per cell]
K: 0.2993 0.7500 0.7552 [2 per cell]
K: 0.3776 0.2500 0.5430 [2 per cell]
K: 0.4122 0.7500 0.0767 [2 per cell]
O: 0.0699 0.2500 0.1720 [2 per cell]
O: 0.1929 0.7500 0.5098 [2 per cell]
O: 0.3388 0.2500 0.9116 [2 per cell]
F: 0.4523 0.2500 0.3282 [2 per cell]

***

No. 6
An optimized crystal structure of Pm3Pu2ThTe6. Source: Alexandria via LeMat-Bulk, functional PBE-GGA.

Calculated volume, Å³/cell: 749
Formation energy (no corrections), eV/atom: -1.248

Cell: 19.4344 4.4275 8.9576 Å, 90.00 103.57 90.00°
Space group C2/m (No. 12)
Inequivalent atoms, fractional coordinates:
Pm: 0.0000 0.0000 0.0000 [2 per cell]
Pm: 0.1653 0.5000 0.3341 [4 per cell]
Pu: 0.1664 0.5000 0.8331 [4 per cell]
Th: 0.0000 0.0000 0.5000 [2 per cell]
Te: 0.0013 0.5000 0.7531 [4 per cell]
Te: 0.1679 0.0000 0.0816 [4 per cell]
Te: 0.1680 0.0000 0.5873 [4 per cell]

***

We obtain mass density values of 3.89, 5.86, 8.00, 2.78, 2.18, 8.51 g/cm³ for the records listed above, in that order.